# BaNaZrF7 PBE optimized geometry
# - Uncorrected energy: -6.08 eV per atom
data_BaNaZrF7
_chemical_formula_sum 'Ba4 Na4 Zr4 F28'
_cell_length_a 8.8266
_cell_length_b 5.4569
_cell_length_c 10.8596
_cell_angle_alpha 90.00
_cell_angle_beta 90.00
_cell_angle_gamma 90.00
_symmetry_space_group_name_H-M 'P n m a'
_symmetry_Int_Tables_number 62
loop_
_symmetry_equiv_pos_as_xyz
'x,y,z'
'-x,-y,-z'
'-x+1/2,-y,z+1/2'
'x+1/2,y,-z+1/2'
'x+1/2,-y+1/2,-z+1/2'
'-x+1/2,y+1/2,z+1/2'
'-x,y+1/2,-z'
'x,-y+1/2,z'
loop_
_atom_site_label
_atom_site_type_symbol
_atom_site_fract_x
_atom_site_fract_y
_atom_site_fract_z
Ba1 Ba 0.0249 0.2500 0.1723
Na1 Na 0.1375 0.2500 0.5538
Zr1 Zr 0.2455 0.7500 0.3579
F1 F 0.0118 0.2500 0.8273
F2 F 0.0690 0.5102 0.3892
F3 F 0.1684 0.0042 0.9851
F4 F 0.2195 0.5019 0.7190



# PmEr2Ag3 PBE optimized geometry
# - DFT formation energy: -0.325 eV/atom
# - Uncorrected energy: -4.05 eV per atom
data_PmEr2Ag3
_chemical_formula_sum 'Pm1 Er2 Ag3'
_cell_length_a 3.6064
_cell_length_b 3.6064
_cell_length_c 11.0384
_cell_angle_alpha 90.00
_cell_angle_beta 90.00
_cell_angle_gamma 90.00
_symmetry_space_group_name_H-M 'P 4/m m m'
_symmetry_Int_Tables_number 123
_symmetry_space_group_name_Hall '-P 4 2'
loop_
_atom_site_label
_atom_site_type_symbol
_atom_site_fract_x
_atom_site_fract_y
_atom_site_fract_z
Pm1 Pm 0.0000 0.0000 0.0000
Er1 Er 0.0000 0.0000 0.3377
Ag1 Ag 0.5000 0.5000 0.1806
Ag2 Ag 0.5000 0.5000 0.5000



# MgTlNiAg PBE optimized geometry
# - Uncorrected energy: -3.01 eV per atom
data_MgTlNiAg
_chemical_formula_sum 'Mg4 Tl4 Ni4 Ag4'
_cell_length_a 6.5561
_cell_length_b 6.5561
_cell_length_c 6.5561
_cell_angle_alpha 90.00
_cell_angle_beta 90.00
_cell_angle_gamma 90.00
_symmetry_space_group_name_H-M 'F -4 3 m'
_symmetry_Int_Tables_number 216
_symmetry_space_group_name_Hall 'F -4 2 3'
loop_
_atom_site_label
_atom_site_type_symbol
_atom_site_fract_x
_atom_site_fract_y
_atom_site_fract_z
Mg1 Mg 0.0000 0.0000 0.0000
Tl1 Tl 0.2500 0.2500 0.2500
Ni1 Ni 0.0000 0.0000 0.5000
Ag1 Ag 0.2500 0.2500 0.7500



# LiLuPb PBE optimized geometry
# - Uncorrected energy: -3.65 eV per atom
data_LiLuPb
_chemical_formula_sum 'Li4 Lu4 Pb4'
_cell_length_a 6.9320
_cell_length_b 6.9320
_cell_length_c 6.9320
_cell_angle_alpha 90.00
_cell_angle_beta 90.00
_cell_angle_gamma 90.00
_symmetry_space_group_name_H-M 'F -4 3 m'
_symmetry_Int_Tables_number 216
_symmetry_space_group_name_Hall 'F -4 2 3'
loop_
_atom_site_label
_atom_site_type_symbol
_atom_site_fract_x
_atom_site_fract_y
_atom_site_fract_z
Li1 Li 0.0000 0.0000 0.0000
Lu1 Lu 0.0000 0.0000 0.5000
Pb1 Pb 0.2500 0.2500 0.2500



# DyYNi2C4 PBE optimized geometry
# - Uncorrected energy: -7.63 eV per atom
data_DyYNi2C4
_chemical_formula_sum 'Dy1 Y1 Ni2 C4'
_cell_length_a 3.5457
_cell_length_b 3.5457
_cell_length_c 7.4217
_cell_angle_alpha 90.00
_cell_angle_beta 90.00
_cell_angle_gamma 90.00
_symmetry_space_group_name_H-M 'P 4 m m'
_symmetry_Int_Tables_number 99
loop_
_symmetry_equiv_pos_as_xyz
'x,y,z'
'-y,x,z'
'-x,-y,z'
'y,-x,z'
'-x,y,z'
'y,x,z'
'x,-y,z'
'-y,-x,z'
loop_
_atom_site_label
_atom_site_type_symbol
_atom_site_fract_x
_atom_site_fract_y
_atom_site_fract_z
Dy1 Dy 0.0000 0.0000 0.0000
Y1 Y 0.5000 0.5000 0.3362
Ni1 Ni 0.0000 0.5000 0.6687
C1 C 0.0000 0.0000 0.3252
C2 C 0.0000 0.0000 0.5114
C3 C 0.5000 0.5000 0.0118
C4 C 0.5000 0.5000 0.8255



# SmPPbO PBE optimized geometry
# - Uncorrected energy: -5.42 eV per atom
# - Excess energy over the best structure of this formula in the dataset: 657.7 meV/atom
data_SmPPbO
_chemical_formula_sum 'Sm2 P2 Pb2 O2'
_cell_length_a 4.7764
_cell_length_b 4.7764
_cell_length_c 7.8746
_cell_angle_alpha 90.00
_cell_angle_beta 90.00
_cell_angle_gamma 90.00
_symmetry_space_group_name_H-M 'P 4/n m m'
_symmetry_Int_Tables_number 129
loop_
_symmetry_equiv_pos_as_xyz
'x,y,z'
'-x,-y,-z'
'-y+1/2,x,z'
'y+1/2,-x,-z'
'-x+1/2,-y+1/2,z'
'x+1/2,y+1/2,-z'
'y,-x+1/2,z'
'-y,x+1/2,-z'
'x+1/2,-y,-z'
'-x+1/2,y,z'
'-y,-x,-z'
'y,x,z'
'-x,y+1/2,-z'
'x,-y+1/2,z'
'y+1/2,x+1/2,-z'
'-y+1/2,-x+1/2,z'
loop_
_atom_site_label
_atom_site_type_symbol
_atom_site_fract_x
_atom_site_fract_y
_atom_site_fract_z
Sm1 Sm 0.2500 0.7500 0.0000
P1 P 0.2500 0.2500 0.1703
Pb1 Pb 0.2500 0.2500 0.6020
O1 O 0.2500 0.7500 0.5000



Question: Number 1 is which compound?
Answer: BaNaZrF7